8
Lattice="7.768 0.000 0.000 0.000 7.768 0.000 3.884 3.884 2.775" Properties=species:S:1:pos:R:3 comment="Al2CdAg | Alexandria | PBE-GGA | optimized geometry" magnetic_moment_mub_per_fu=0.00 e_form_ev_per_atom=0.26 pbc="T T T"
Ag 3.884 3.884 0.000
Ag 3.884 7.768 1.387
Al 5.604 1.942 0.694
Al 5.826 6.048 2.081
Al 2.164 5.826 0.694
Al 9.710 9.488 2.081
Cd 7.768 3.884 1.387
Cd 0.000 0.000 0.000